Sr2VO4 | GGA+U | optimized geometry

```
Sr2VO4
1.0
3.8357 0.0000 0.0000
0.0000 3.8357 0.0000
-1.9179 -1.9179 6.4695
O V Sr
4 1 2
Cartesian
1.9179 1.9179 4.4089 O
0.0000 0.0000 2.0605 O
1.9179 0.0000 0.0000 O
0.0000 1.9179 0.0000 O
0.0000 0.0000 0.0000 V
1.9179 1.9179 1.9213 Sr
0.0000 0.0000 4.5481 Sr
```

## Properties
* symmetry: I4/mmm (139)
* D(E_F): 1.32 states/eV/f.u.
* M_tot: 1.000 μB/f.u.
* DFT total energy: -48.6 eV per cell
* polymorph energy (0 for the lowest one): 0 meV per atom